[1]
Here is an optimized crystal structure of TbPaBiO6 from Alexandria via LeMat-Bulk. Energies are from PBE.

The structure in POSCAR format:
```
TbPaBiO6
1.0
-2.3803 -3.5674 2.8829
4.4419 -0.9833 2.4508
-2.3596 7.4441 7.2633
O Tb Bi Pa
12 2 2 2
Direct
0.1881 0.8119 0.1601
0.3119 0.3119 0.6601
0.3128 0.3128 0.3381
0.2994 0.2994 0.0013
0.6881 0.6881 0.6601
0.2006 0.7994 0.5013
0.1872 0.8128 0.8381
0.8119 0.1881 0.1601
0.6872 0.6872 0.3381
0.7994 0.2006 0.5013
0.7006 0.7006 0.0013
0.8128 0.1872 0.8381
0.0000 0.0000 0.3345
0.5000 0.5000 0.8345
0.5000 0.5000 0.1663
0.0000 0.0000 0.6663
0.5000 0.5000 0.5001
0.0000 0.0000 0.0001
```

Properties
- E_tot: -8.006 eV per atom
- Formation energy without anion corrections: -2.70 eV per atom
- Space-group type: No. 102
- Crystal system: tetragonal

=====

[2]
Here is an optimized crystal structure of Hf2Te2S from Alexandria via LeMat-Bulk. Energies are from PBE.

The structure in POSCAR format:
```
Hf2Te2S
1.0
-3.1830 5.6490 3.9187
-4.3172 -5.0030 3.7055
2.7842 -0.3519 2.7687
Te Hf S
4 4 2
Direct
0.8511 0.3511 0.5000
0.3511 0.1489 0.5000
0.1489 0.6489 0.5000
0.6489 0.8511 0.5000
0.6452 0.1452 0.0000
0.1452 0.3548 0.0000
0.3548 0.8548 0.0000
0.8548 0.6452 0.0000
0.0000 0.0000 0.0000
0.5000 0.5000 0.0000
```

Properties
- E_tot: -6.717 eV per atom
- Formation energy without anion corrections: -0.65 eV per atom
- E above lowest polymorph: 0.2956 eV per atom
- Space-group type: No. 127
- Crystal system: tetragonal

=====

[3]
Here is an optimized crystal structure of Pm2TmRu from Alexandria via LeMat-Bulk. Energies are from PBE.

The structure in POSCAR format:
```
Pm2TmRu
1.0
-2.3166 -0.0385 3.2727
1.1243 -5.9487 -1.7317
7.5438 -0.1283 5.3384
Pm Tm Ru
4 2 2
Direct
0.6403 0.2805 0.4325
0.3597 0.7195 0.9325
0.6403 0.2805 0.0675
0.3597 0.7195 0.5675
0.0805 0.1606 0.7500
0.9195 0.8394 0.2500
0.7394 0.4783 0.7500
0.2606 0.5217 0.2500
```

Properties
- E_tot: -6.048 eV per atom
- E above lowest polymorph: 0.0191 eV per atom
- ΔE_f: -0.24 eV per atom
- Space-group type: No. 63
- Crystal system: orthorhombic

=====

> Which formula does entry 1 have?

TbPaBiO6

=====

> Look up the E_tot of the third one.

-6.048 eV per atom